# 1
The following is a GGA-PBE calculation of an optimized crystal structure of SmHoMn17, from the Alexandria database. Values from VASP.

```
&SYSTEM
  ibrav = 0, nat = 19, ntyp = 3
/
ATOMIC_SPECIES
Sm 150.36 Sm.upf
Ho 164.93 Ho.upf
Mn 54.94 Mn.upf
CELL_PARAMETERS angstrom
4.334 2.502 3.887
-4.334 2.502 3.887
0.000 -5.004 3.887
ATOMIC_POSITIONS crystal
Sm 0.000 0.000 0.000
Ho 0.710 0.710 0.710
Mn 0.001 0.001 0.480
Mn 0.001 0.480 0.001
Mn 0.082 0.357 0.631
Mn 0.082 0.631 0.357
Mn 0.234 0.710 0.710
Mn 0.257 0.257 0.257
Mn 0.357 0.082 0.631
Mn 0.357 0.357 0.856
Mn 0.357 0.631 0.082
Mn 0.357 0.856 0.357
Mn 0.456 0.456 0.456
Mn 0.480 0.001 0.001
Mn 0.631 0.082 0.357
Mn 0.631 0.357 0.082
Mn 0.710 0.234 0.710
Mn 0.710 0.710 0.234
Mn 0.856 0.357 0.357
```

Output
Crystal system: trigonal
Theoretical density in Mg/m³: 8.20
Formation energy in eV per formula unit: 0.3

---

# 2
The following is a GGA-PBE calculation of an optimized crystal structure of Th2Ga5Ru4, from the Alexandria database. Values from VASP.

```
&SYSTEM
  ibrav = 0, nat = 11, ntyp = 3
/
ATOMIC_SPECIES
Th 232.04 Th.upf
Ga 69.72 Ga.upf
Ru 101.07 Ru.upf
CELL_PARAMETERS angstrom
0.000 4.865 7.980
2.639 0.000 7.980
2.639 4.865 0.000
ATOMIC_POSITIONS crystal
Th 0.147 0.147 0.853
Th 0.853 0.853 0.147
Ga 0.000 0.000 0.500
Ga 0.250 0.250 0.250
Ga 0.500 0.500 0.000
Ga 0.500 0.500 0.500
Ga 0.750 0.750 0.750
Ru 0.221 0.522 0.478
Ru 0.478 0.779 0.221
Ru 0.522 0.221 0.779
Ru 0.779 0.478 0.522
```

Output
Crystal system: orthorhombic
Theoretical density in Mg/m³: 9.86
Formation energy in eV per formula unit: -4.5

---

# 3
The following is a GGA-PBE calculation of an optimized crystal structure of ScMn2Si, from the Alexandria database. Values from VASP.

```
&SYSTEM
  ibrav = 0, nat = 12, ntyp = 3
/
ATOMIC_SPECIES
Sc 44.96 Sc.upf
Mn 54.94 Mn.upf
Si 28.09 Si.upf
CELL_PARAMETERS angstrom
2.920 0.000 0.000
-1.460 2.529 0.000
0.000 0.000 24.588
ATOMIC_POSITIONS crystal
Sc 0.000 0.000 0.000
Sc 0.333 0.667 0.667
Sc 0.667 0.333 0.333
Mn 0.000 0.000 0.244
Mn 0.000 0.000 0.503
Mn 0.333 0.667 0.169
Mn 0.333 0.667 0.910
Mn 0.667 0.333 0.577
Mn 0.667 0.333 0.836
Si 0.000 0.000 0.762
Si 0.333 0.667 0.429
Si 0.667 0.333 0.096
```

Output
Crystal system: trigonal
Theoretical density in Mg/m³: 5.02
Formation energy without anion corrections in eV per atom: 0.1173

---

# 4
The following is a GGA-PBE calculation of an optimized crystal structure of SmHoNi3, from the Alexandria database. Values from VASP.

```
&SYSTEM
  ibrav = 0, nat = 10, ntyp = 3
/
ATOMIC_SPECIES
Sm 150.36 Sm.upf
Ho 164.93 Ho.upf
Ni 58.69 Ni.upf
CELL_PARAMETERS angstrom
1.944 -12.073 0.000
1.944 12.073 0.000
0.000 0.000 3.996
ATOMIC_POSITIONS crystal
Sm 0.072 0.928 0.750
Sm 0.928 0.072 0.250
Ho 0.204 0.796 0.250
Ho 0.796 0.204 0.750
Ni 0.324 0.676 0.250
Ni 0.379 0.621 0.750
Ni 0.475 0.525 0.750
Ni 0.525 0.475 0.250
Ni 0.621 0.379 0.250
Ni 0.676 0.324 0.750
```

Output
Crystal system: orthorhombic
Theoretical density in Mg/m³: 8.70
Formation energy in eV per formula unit: -2.0

---

# 5
The following is a GGA-PBE calculation of an optimized crystal structure of La2HoIr, from the Alexandria database. Values from VASP.

```
&SYSTEM
  ibrav = 0, nat = 12, ntyp = 3
/
ATOMIC_SPECIES
La 138.91 La.upf
Ho 164.93 Ho.upf
Ir 192.22 Ir.upf
CELL_PARAMETERS angstrom
3.893 0.000 0.000
-1.946 3.371 0.000
0.000 0.000 31.858
ATOMIC_POSITIONS crystal
La 0.000 0.000 0.112
La 0.000 0.000 0.888
La 0.333 0.667 0.554
La 0.333 0.667 0.779
La 0.667 0.333 0.221
La 0.667 0.333 0.446
Ho 0.000 0.000 0.000
Ho 0.333 0.667 0.667
Ho 0.667 0.333 0.333
Ir 0.000 0.000 0.500
Ir 0.333 0.667 0.167
Ir 0.667 0.333 0.833
```

Output
Crystal system: trigonal
Theoretical density in Mg/m³: 7.57
Formation energy in eV per formula unit: -0.5

---

# 6
The following is a GGA-PBE calculation of an optimized crystal structure of HoMgAs2Rh5, from the Alexandria database. Values from VASP.

```
&SYSTEM
  ibrav = 0, nat = 9, ntyp = 4
/
ATOMIC_SPECIES
Ho 164.93 Ho.upf
Mg 24.30 Mg.upf
As 74.92 As.upf
Rh 102.91 Rh.upf
CELL_PARAMETERS angstrom
4.201 0.000 0.000
0.000 4.201 0.000
0.000 0.000 8.699
ATOMIC_POSITIONS crystal
Ho 0.000 0.000 0.000
Mg 0.000 0.000 0.500
As 0.500 0.500 0.358
As 0.500 0.500 0.642
Rh 0.000 0.500 0.234
Rh 0.000 0.500 0.766
Rh 0.500 0.000 0.234
Rh 0.500 0.000 0.766
Rh 0.500 0.500 0.000
```

Output
Crystal system: tetragonal
Theoretical density in Mg/m³: 9.23
Formation energy in eV per formula unit: -5.2